! LiAgPt2 (SCAN, PBEsol geometry); values from VASP
&SYSTEM
  ibrav = 0, nat = 4, ntyp = 3
/
ATOMIC_SPECIES
Li 6.94 Li.upf
Ag 107.87 Ag.upf
Pt 195.08 Pt.upf
ATOMIC_POSITIONS crystal
Li 0.000 0.000 0.000
Ag 0.000 0.000 0.500
Pt 0.500 0.500 0.234
Pt 0.500 0.500 0.766
CELL_PARAMETERS angstrom
1.385 -2.321 0.000
1.385 2.321 0.000
0.000 0.000 9.171
! - Space group: Cmmm (65)
! - Energy: -43.869 eV per atom
! - ΔH_f (0 K): -0.334 eV/atom
! - Energy above the most stable polymorph in this dataset: 36 meV/atom

! CaMnPS2 (SCAN, PBEsol geometry); values from VASP
&SYSTEM
  ibrav = 0, nat = 5, ntyp = 4
/
ATOMIC_SPECIES
Ca 40.08 Ca.upf
Mn 54.94 Mn.upf
P 30.97 P.upf
S 32.06 S.upf
ATOMIC_POSITIONS crystal
Ca 0.000 0.000 0.000
Mn 0.500 0.500 0.500
P 0.500 0.500 0.000
S 0.000 0.500 0.500
S 0.500 0.000 0.500
CELL_PARAMETERS angstrom
4.696 0.000 0.000
0.000 4.696 0.000
0.000 0.000 4.284
! - Space group: P4/mmm (123)
! - Energy: -12.274 eV per atom
! - E_form (uncorrected): -760 meV per atom

! PmSnPt2 (SCAN, PBEsol geometry); values from VASP
&SYSTEM
  ibrav = 0, nat = 4, ntyp = 3
/
ATOMIC_SPECIES
Pm 145.00 Pm.upf
Sn 118.71 Sn.upf
Pt 195.08 Pt.upf
ATOMIC_POSITIONS crystal
Pm 0.000 0.000 0.000
Sn 0.500 0.500 0.500
Pt 0.250 0.250 0.250
Pt 0.750 0.750 0.750
CELL_PARAMETERS angstrom
0.000 3.410 3.410
3.410 0.000 3.410
3.410 3.410 0.000
! - Space group: Fm-3m (225)
! - Energy: -55.942 eV per atom
! - ΔH_f (0 K): -0.869 eV/atom

! TmMg2 (SCAN, PBEsol geometry); values from VASP
&SYSTEM
  ibrav = 0, nat = 12, ntyp = 2
/
ATOMIC_SPECIES
Tm 168.93 Tm.upf
Mg 24.30 Mg.upf
ATOMIC_POSITIONS crystal
Tm 0.333 0.667 0.063
Tm 0.333 0.667 0.437
Tm 0.667 0.333 0.563
Tm 0.667 0.333 0.937
Mg 0.000 0.000 0.000
Mg 0.000 0.000 0.500
Mg 0.171 0.342 0.750
Mg 0.171 0.829 0.750
Mg 0.342 0.171 0.250
Mg 0.658 0.829 0.750
Mg 0.829 0.171 0.250
Mg 0.829 0.658 0.250
CELL_PARAMETERS angstrom
5.945 0.000 0.000
-2.972 5.148 0.000
0.000 0.000 9.642
! - Space group: P6_3/mmc (194)
! - Energy: -20.644 eV per atom
! - ΔH_f (0 K): -0.051 eV/atom

! ReIBr2 (SCAN, PBEsol geometry); values from VASP
&SYSTEM
  ibrav = 0, nat = 8, ntyp = 3
/
ATOMIC_SPECIES
Re 186.21 Re.upf
I 126.90 I.upf
Br 79.90 Br.upf
ATOMIC_POSITIONS crystal
Re 0.000 0.000 0.000
Re 0.750 0.250 0.500
I 0.250 0.750 0.500
I 0.500 0.500 0.000
Br 0.017 0.125 0.392
Br 0.375 0.983 0.108
Br 0.733 0.625 0.608
Br 0.875 0.267 0.892
CELL_PARAMETERS angstrom
-3.694 3.694 4.311
3.694 -3.694 4.311
3.694 3.694 -4.311
! - Space group: I-42d (122)
! - Energy: -35.929 eV per atom
! - E_form (uncorrected): 760 meV per atom

! SmGa2Co3 (SCAN, PBEsol geometry); values from VASP
&SYSTEM
  ibrav = 0, nat = 6, ntyp = 3
/
ATOMIC_SPECIES
Sm 150.36 Sm.upf
Ga 69.72 Ga.upf
Co 58.93 Co.upf
ATOMIC_POSITIONS crystal
Sm 0.000 0.000 0.000
Ga 0.333 0.667 0.000
Ga 0.667 0.333 0.000
Co 0.000 0.500 0.500
Co 0.500 0.000 0.500
Co 0.500 0.500 0.500
CELL_PARAMETERS angstrom
5.177 0.000 0.000
-2.589 4.484 0.000
0.000 0.000 3.723
! - Space group: P6/mmm (191)
! - Energy: -21.810 eV per atom
! - ΔH_f (0 K): -0.302 eV/atom

! CdTcOs2 (SCAN, PBEsol geometry); values from VASP
&SYSTEM
  ibrav = 0, nat = 4, ntyp = 3
/
ATOMIC_SPECIES
Cd 112.41 Cd.upf
Tc 98.00 Tc.upf
Os 190.23 Os.upf
ATOMIC_POSITIONS crystal
Cd 0.000 0.000 0.000
Tc 0.000 0.000 0.500
Os 0.500 0.500 0.267
Os 0.500 0.500 0.733
CELL_PARAMETERS angstrom
1.411 -2.312 0.000
1.411 2.312 0.000
0.000 0.000 9.366
! - Space group: Cmmm (65)
! - Energy: -51.746 eV per atom
! - ΔH_f (0 K): 0.563 eV/atom

! Ca2AsBr (SCAN, PBEsol geometry); values from VASP
&SYSTEM
  ibrav = 0, nat = 4, ntyp = 3
/
ATOMIC_SPECIES
Ca 40.08 Ca.upf
As 74.92 As.upf
Br 79.90 Br.upf
ATOMIC_POSITIONS crystal
Ca 0.000 0.000 0.000
Ca 0.500 0.245 0.245
As 0.500 0.511 0.511
Br 0.000 0.751 0.751
CELL_PARAMETERS angstrom
4.606 0.000 0.000
0.000 1.940 5.657
0.000 -1.940 5.657
! - Space group: Amm2 (38)
! - Energy: -16.227 eV per atom
! - E_form (uncorrected): -1482 meV per atom

! MnNi5 (SCAN, PBEsol geometry); values from VASP
&SYSTEM
  ibrav = 0, nat = 6, ntyp = 2
/
ATOMIC_SPECIES
Mn 54.94 Mn.upf
Ni 58.69 Ni.upf
ATOMIC_POSITIONS crystal
Mn 0.000 0.000 0.000
Ni 0.000 0.333 0.333
Ni 0.000 0.667 0.667
Ni 0.500 0.115 0.115
Ni 0.500 0.446 0.446
Ni 0.500 0.780 0.780
CELL_PARAMETERS angstrom
4.018 0.000 0.000
0.000 1.244 6.369
0.000 -1.244 6.369
! - Space group: Amm2 (38)
! - Energy: -16.598 eV per atom
! - ΔH_f (0 K): -0.078 eV/atom

! Mg2IrW (SCAN, PBEsol geometry); values from VASP
&SYSTEM
  ibrav = 0, nat = 4, ntyp = 3
/
ATOMIC_SPECIES
Mg 24.30 Mg.upf
Ir 192.22 Ir.upf
W 183.84 W.upf
ATOMIC_POSITIONS crystal
Mg 0.000 0.500 0.000
Mg 0.500 0.000 0.000
Ir 0.000 0.000 0.500
W 0.500 0.500 0.500
CELL_PARAMETERS angstrom
2.616 -4.417 0.000
2.616 4.417 0.000
0.000 0.000 2.774
! - Space group: Cmmm (65)
! - Energy: -37.554 eV per atom
! - ΔH_f (0 K): 0.130 eV/atom

! FePtIN2 (SCAN, PBEsol geometry); values from VASP
&SYSTEM
  ibrav = 0, nat = 5, ntyp = 4
/
ATOMIC_SPECIES
Fe 55.84 Fe.upf
Pt 195.08 Pt.upf
I 126.90 I.upf
N 14.01 N.upf
ATOMIC_POSITIONS crystal
Fe 0.000 0.000 0.000
Pt 0.500 0.500 0.500
I 0.000 0.000 0.500
N 0.000 0.500 0.000
N 0.500 0.000 0.000
CELL_PARAMETERS angstrom
3.620 0.000 0.000
0.000 3.620 0.000
0.000 0.000 5.780
! - Space group: P4/mmm (123)
! - Energy: -27.569 eV per atom
! - E_form (uncorrected): 1161 meV per atom

! CaZr2BiCl (SCAN, PBEsol geometry); values from VASP
&SYSTEM
  ibrav = 0, nat = 5, ntyp = 4
/
ATOMIC_SPECIES
Ca 40.08 Ca.upf
Zr 91.22 Zr.upf
Bi 208.98 Bi.upf
Cl 35.45 Cl.upf
ATOMIC_POSITIONS crystal
Ca 0.000 0.000 0.000
Zr 0.000 0.500 0.000
Zr 0.500 0.000 0.000
Bi 0.500 0.500 0.500
Cl 0.000 0.000 0.500
CELL_PARAMETERS angstrom
5.352 0.000 0.000
0.000 5.352 0.000
0.000 0.000 4.706
! - Space group: P4/mmm (123)
! - Energy: -30.738 eV per atom
! - E_form (uncorrected): 785 meV per atom

! YPbBr2 (SCAN, PBEsol geometry); values from VASP
&SYSTEM
  ibrav = 0, nat = 4, ntyp = 3
/
ATOMIC_SPECIES
Y 88.91 Y.upf
Pb 207.20 Pb.upf
Br 79.90 Br.upf
ATOMIC_POSITIONS crystal
Y 0.000 0.000 0.000
Pb 0.500 0.500 0.000
Br 0.250 0.750 0.500
Br 0.750 0.250 0.500
CELL_PARAMETERS angstrom
-2.359 2.359 4.645
2.359 -2.359 4.645
2.359 2.359 -4.645
! - Space group: I4/mmm (139)
! - Energy: -36.443 eV per atom
! - Energy above the most stable polymorph in this dataset: 362 meV/atom
! - E_form (uncorrected): -807 meV per atom

! Mg7Tl (SCAN, PBEsol geometry); values from VASP
&SYSTEM
  ibrav = 0, nat = 8, ntyp = 2
/
ATOMIC_SPECIES
Mg 24.30 Mg.upf
Tl 204.38 Tl.upf
ATOMIC_POSITIONS crystal
Mg 0.000 0.000 0.000
Mg 0.000 0.000 0.500
Mg 0.000 0.500 0.000
Mg 0.000 0.500 0.500
Mg 0.500 0.000 0.000
Mg 0.500 0.000 0.500
Mg 0.500 0.500 0.000
Tl 0.500 0.500 0.500
CELL_PARAMETERS angstrom
0.000 4.489 4.489
4.489 0.000 4.489
4.489 4.489 0.000
! - Space group: Fm-3m (225)
! - Energy: -13.438 eV per atom
! - ΔH_f (0 K): -0.041 eV/atom

! Cr2NiB2 (SCAN, PBEsol geometry); values from VASP
&SYSTEM
  ibrav = 0, nat = 10, ntyp = 3
/
ATOMIC_SPECIES
Cr 52.00 Cr.upf
Ni 58.69 Ni.upf
B 10.81 B.upf
ATOMIC_POSITIONS crystal
Cr 0.174 0.326 0.000
Cr 0.326 0.826 0.000
Cr 0.674 0.174 0.000
Cr 0.826 0.674 0.000
Ni 0.000 0.000 0.500
Ni 0.500 0.500 0.500
B 0.117 0.617 0.500
B 0.383 0.117 0.500
B 0.617 0.883 0.500
B 0.883 0.383 0.500
CELL_PARAMETERS angstrom
5.344 0.000 0.000
0.000 5.344 0.000
0.000 0.000 2.980
! - Space group: P4/mbm (127)
! - Energy: -13.935 eV per atom
! - ΔH_f (0 K): -0.375 eV/atom

! Mg3SbN (SCAN, PBEsol geometry); values from VASP
&SYSTEM
  ibrav = 0, nat = 5, ntyp = 3
/
ATOMIC_SPECIES
Mg 24.30 Mg.upf
Sb 121.76 Sb.upf
N 14.01 N.upf
ATOMIC_POSITIONS crystal
Mg 0.000 0.000 0.500
Mg 0.000 0.500 0.000
Mg 0.500 0.000 0.000
Sb 0.500 0.500 0.500
N 0.000 0.000 0.000
CELL_PARAMETERS angstrom
4.344 0.000 0.000
0.000 4.344 0.000
0.000 0.000 4.344
! - Space group: Pm-3m (221)
! - Energy: -13.032 eV per atom
! - E_form (uncorrected): -737 meV per atom

! Ta4MnAg (SCAN, PBEsol geometry); values from VASP
&SYSTEM
  ibrav = 0, nat = 6, ntyp = 3
/
ATOMIC_SPECIES
Ta 180.95 Ta.upf
Mn 54.94 Mn.upf
Ag 107.87 Ag.upf
ATOMIC_POSITIONS crystal
Ta 0.376 0.376 0.376
Ta 0.376 0.376 0.872
Ta 0.376 0.872 0.376
Ta 0.872 0.376 0.376
Mn 0.750 0.750 0.750
Ag 0.000 0.000 0.000
CELL_PARAMETERS angstrom
0.000 3.779 3.779
3.779 0.000 3.779
3.779 3.779 0.000
! - Space group: F-43m (216)
! - Energy: -52.175 eV per atom
! - ΔH_f (0 K): 0.484 eV/atom

! Cd2HgPb (SCAN, PBEsol geometry); values from VASP
&SYSTEM
  ibrav = 0, nat = 8, ntyp = 3
/
ATOMIC_SPECIES
Cd 112.41 Cd.upf
Hg 200.59 Hg.upf
Pb 207.20 Pb.upf
ATOMIC_POSITIONS crystal
Cd 0.112 0.625 0.987
Cd 0.375 0.362 0.487
Cd 0.638 0.125 0.013
Cd 0.875 0.888 0.513
Hg 0.000 0.000 0.000
Hg 0.750 0.250 0.500
Pb 0.250 0.750 0.500
Pb 0.500 0.500 0.000
CELL_PARAMETERS angstrom
-2.174 2.174 10.624
2.174 -2.174 10.624
2.174 2.174 -10.624
! - Space group: I-42d (122)
! - Energy: -51.113 eV per atom
! - ΔH_f (0 K): 0.081 eV/atom
! - Energy above the most stable polymorph in this dataset: 35 meV/atom

! K3Hf4Ag2F23 (SCAN, PBEsol geometry); values from VASP
&SYSTEM
  ibrav = 0, nat = 64, ntyp = 4
/
ATOMIC_SPECIES
K 39.10 K.upf
Hf 178.49 Hf.upf
Ag 107.87 Ag.upf
F 19.00 F.upf
ATOMIC_POSITIONS crystal
K 0.000 0.000 0.000
K 0.000 0.500 0.500
K 0.274 0.026 0.368
K 0.274 0.474 0.868
K 0.726 0.526 0.132
K 0.726 0.974 0.632
Hf 0.166 0.697 0.165
Hf 0.166 0.803 0.665
Hf 0.472 0.684 0.456
Hf 0.472 0.816 0.956
Hf 0.528 0.184 0.044
Hf 0.528 0.316 0.544
Hf 0.834 0.197 0.335
Hf 0.834 0.303 0.835
Ag 0.185 0.158 0.690
Ag 0.185 0.342 0.190
Ag 0.815 0.658 0.810
Ag 0.815 0.842 0.310
F 0.005 0.217 0.493
F 0.005 0.283 0.993
F 0.018 0.144 0.228
F 0.018 0.356 0.728
F 0.028 0.640 0.712
F 0.028 0.860 0.212
F 0.130 0.523 0.097
F 0.130 0.977 0.597
F 0.264 0.646 0.564
F 0.264 0.854 0.064
F 0.308 0.584 0.310
F 0.308 0.916 0.810
F 0.319 0.707 0.816
F 0.319 0.793 0.316
F 0.353 0.138 0.160
F 0.353 0.362 0.660
F 0.355 0.189 0.884
F 0.355 0.311 0.384
F 0.385 0.660 0.068
F 0.385 0.840 0.568
F 0.388 0.153 0.580
F 0.388 0.347 0.080
F 0.500 0.000 0.000
F 0.500 0.500 0.500
F 0.612 0.653 0.920
F 0.612 0.847 0.420
F 0.615 0.160 0.432
F 0.615 0.340 0.932
F 0.645 0.689 0.616
F 0.645 0.811 0.116
F 0.647 0.638 0.340
F 0.647 0.862 0.840
F 0.681 0.207 0.684
F 0.681 0.293 0.184
F 0.692 0.084 0.190
F 0.692 0.416 0.690
F 0.736 0.146 0.936
F 0.736 0.354 0.436
F 0.870 0.023 0.403
F 0.870 0.477 0.903
F 0.972 0.140 0.788
F 0.972 0.360 0.288
F 0.982 0.644 0.272
F 0.982 0.856 0.772
F 0.995 0.717 0.007
F 0.995 0.783 0.507
CELL_PARAMETERS angstrom
7.823 0.000 0.000
0.000 11.010 0.000
-1.147 0.000 10.091
! - Space group: P2_1/c (14)
! - Energy: -16.508 eV per atom
! - E_form (uncorrected): -3388 meV per atom

! CaCuPb (SCAN, PBEsol geometry); values from VASP
&SYSTEM
  ibrav = 0, nat = 3, ntyp = 3
/
ATOMIC_SPECIES
Ca 40.08 Ca.upf
Cu 63.55 Cu.upf
Pb 207.20 Pb.upf
ATOMIC_POSITIONS crystal
Ca 0.000 0.000 0.000
Cu 0.667 0.333 0.500
Pb 0.333 0.667 0.500
CELL_PARAMETERS angstrom
4.636 0.000 0.000
-2.318 4.015 0.000
0.000 0.000 3.683
! - Space group: P-6m2 (187)
! - Energy: -33.984 eV per atom
! - ΔH_f (0 K): -0.436 eV/atom

! LaY2Ni (SCAN, PBEsol geometry); values from VASP
&SYSTEM
  ibrav = 0, nat = 4, ntyp = 3
/
ATOMIC_SPECIES
La 138.91 La.upf
Y 88.91 Y.upf
Ni 58.69 Ni.upf
ATOMIC_POSITIONS crystal
La 0.000 0.000 0.000
Y 0.000 0.000 0.376
Y 0.500 0.500 0.679
Ni 0.500 0.500 0.203
CELL_PARAMETERS angstrom
2.448 -2.453 0.000
2.448 2.453 0.000
0.000 0.000 8.646
! - Space group: Cmm2 (35)
! - Energy: -28.833 eV per atom
! - ΔH_f (0 K): -0.092 eV/atom
! - Energy above the most stable polymorph in this dataset: 78 meV/atom

! InTc2Se (SCAN, PBEsol geometry); values from VASP
&SYSTEM
  ibrav = 0, nat = 4, ntyp = 3
/
ATOMIC_SPECIES
In 114.82 In.upf
Tc 98.00 Tc.upf
Se 78.96 Se.upf
ATOMIC_POSITIONS crystal
In 0.000 0.000 0.000
Tc 0.250 0.250 0.250
Tc 0.750 0.750 0.750
Se 0.500 0.500 0.500
CELL_PARAMETERS angstrom
0.000 3.143 3.143
3.143 0.000 3.143
3.143 3.143 0.000
! - Space group: Fm-3m (225)
! - Energy: -30.369 eV per atom
! - Energy above the most stable polymorph in this dataset: 167 meV/atom
! - E_form (uncorrected): 527 meV per atom

! LaBe2P (SCAN, PBEsol geometry); values from VASP
&SYSTEM
  ibrav = 0, nat = 4, ntyp = 3
/
ATOMIC_SPECIES
La 138.91 La.upf
Be 9.01 Be.upf
P 30.97 P.upf
ATOMIC_POSITIONS crystal
La 0.000 0.000 0.000
Be 0.000 0.000 0.514
Be 0.500 0.500 0.347
P 0.500 0.500 0.681
CELL_PARAMETERS angstrom
2.102 -2.476 0.000
2.102 2.476 0.000
0.000 0.000 6.282
! - Space group: Cmm2 (35)
! - Energy: -15.601 eV per atom
! - ΔH_f (0 K): -0.049 eV/atom

! SrBe2NbN (SCAN, PBEsol geometry); values from VASP
&SYSTEM
  ibrav = 0, nat = 5, ntyp = 4
/
ATOMIC_SPECIES
Sr 87.62 Sr.upf
Be 9.01 Be.upf
Nb 92.91 Nb.upf
N 14.01 N.upf
ATOMIC_POSITIONS crystal
Sr 0.000 0.000 0.000
Be 0.000 0.500 0.500
Be 0.500 0.000 0.500
Nb 0.500 0.500 0.000
N 0.500 0.500 0.500
CELL_PARAMETERS angstrom
4.217 0.000 0.000
0.000 4.217 0.000
0.000 0.000 4.240
! - Space group: P4/mmm (123)
! - Energy: -14.007 eV per atom
! - E_form (uncorrected): 674 meV per atom

! La3Pm (SCAN, PBEsol geometry); values from VASP
&SYSTEM
  ibrav = 0, nat = 4, ntyp = 2
/
ATOMIC_SPECIES
La 138.91 La.upf
Pm 145.00 Pm.upf
ATOMIC_POSITIONS crystal
La 0.000 0.000 0.000
La 0.250 0.750 0.500
La 0.750 0.250 0.500
Pm 0.500 0.500 0.000
CELL_PARAMETERS angstrom
-2.560 2.560 5.093
2.560 -2.560 5.093
2.560 2.560 -5.093
! - Space group: I4/mmm (139)
! - Energy: -43.308 eV per atom
! - ΔH_f (0 K): 0.017 eV/atom